Entry 1:
# LiSc, relaxed, DFT PBE
# Formation energy   0.267 eV/atom
# Density of states at the Fermi level   1.4606 states/eV/atom
# Total magnetization   1.2 μB per cell
# Excess energy over the best structure of this formula in the dataset   176 meV/atom
# DFT total energy   -0.1417 Ha/atom
data_LiSc
_symmetry_space_group_name_H-M 'P n m a'
_symmetry_Int_Tables_number 62
_symmetry_space_group_name_Hall '-P 2ac 2n'
_cell_length_a 5.7058
_cell_length_b 5.0191
_cell_length_c 5.9764
_cell_angle_alpha 90.00
_cell_angle_beta 90.00
_cell_angle_gamma 90.00
loop_
_atom_site_label
_atom_site_type_symbol
_atom_site_fract_x
_atom_site_fract_y
_atom_site_fract_z
_atom_site_occupancy
Li1 Li 0.0968 0.2500 0.1254 1
Sc1 Sc 0.1394 0.2500 0.6215 1



Entry 2:
# Al2HgBS, relaxed, DFT PBE
# Density of states at the Fermi level   0.3777 states/eV/atom
# Total magnetization   0.0 μB per cell
# Excess energy over the best structure of this formula in the dataset   577 meV/atom
# DFT total energy   -0.1009 Ha/atom
# ΔE_f (raw)   0.974 eV/atom
data_Al2HgBS
_symmetry_space_group_name_H-M 'P 4/m m m'
_symmetry_Int_Tables_number 123
_symmetry_space_group_name_Hall '-P 4 2'
_cell_length_a 5.1687
_cell_length_b 5.1687
_cell_length_c 4.0496
_cell_angle_alpha 90.00
_cell_angle_beta 90.00
_cell_angle_gamma 90.00
loop_
_atom_site_label
_atom_site_type_symbol
_atom_site_fract_x
_atom_site_fract_y
_atom_site_fract_z
_atom_site_occupancy
Al1 Al 0.0000 0.5000 0.0000 1
Hg1 Hg 0.0000 0.0000 0.0000 1
B1 B 0.0000 0.0000 0.5000 1
S1 S 0.5000 0.5000 0.5000 1



Entry 3:
# BaH3Rh, relaxed, DFT PBE
# Density of states at the Fermi level   0.1806 states/eV/atom
# Total magnetization   0.0 μB per cell
# DFT total energy   -0.1535 Ha/atom
data_BaH3Rh
_symmetry_space_group_name_H-M 'P m m a'
_symmetry_Int_Tables_number 51
_symmetry_space_group_name_Hall '-P 2a 2a'
_cell_length_a 4.9588
_cell_length_b 3.7028
_cell_length_c 7.2055
_cell_angle_alpha 90.00
_cell_angle_beta 90.00
_cell_angle_gamma 90.00
loop_
_atom_site_label
_atom_site_type_symbol
_atom_site_fract_x
_atom_site_fract_y
_atom_site_fract_z
_atom_site_occupancy
Ba1 Ba 0.2500 0.0000 0.2002 1
H1 H 0.2500 0.0000 0.6389 1
H2 H 0.2500 0.5000 0.4196 1
H3 H 0.2500 0.5000 0.8885 1
Rh1 Rh 0.2500 0.5000 0.6476 1



Entry 4:
# PmCu6Pd2, relaxed, DFT PBE
# Formation energy   0.136 eV/atom
# Density of states at the Fermi level   0.4100 states/eV/atom
# Total magnetization   0.0 μB per cell
# DFT total energy   -0.1572 Ha/atom
data_PmCu6Pd2
_symmetry_space_group_name_H-M 'P 6/m m m'
_symmetry_Int_Tables_number 191
_symmetry_space_group_name_Hall '-P 6 2'
_cell_length_a 5.1036
_cell_length_b 5.1036
_cell_length_c 6.9218
_cell_angle_alpha 90.00
_cell_angle_beta 90.00
_cell_angle_gamma 120.00
loop_
_atom_site_label
_atom_site_type_symbol
_atom_site_fract_x
_atom_site_fract_y
_atom_site_fract_z
_atom_site_occupancy
Pm1 Pm 0.0000 0.0000 0.0000 1
Cu1 Cu 0.0000 0.5000 0.1953 1
Pd1 Pd 0.3333 0.6667 0.5000 1



Entry 5:
# BHOs3, relaxed, DFT PBE
# Density of states at the Fermi level   1.1084 states/eV/atom
# Total magnetization   0.0 μB per cell
# Excess energy over the best structure of this formula in the dataset   0 meV/atom
# DFT total energy   -0.2833 Ha/atom
data_BHOs3
_symmetry_space_group_name_H-M 'P m -3 m'
_symmetry_Int_Tables_number 221
_symmetry_space_group_name_Hall '-P 4 2 3'
_cell_length_a 3.8123
_cell_length_b 3.8123
_cell_length_c 3.8123
_cell_angle_alpha 90.00
_cell_angle_beta 90.00
_cell_angle_gamma 90.00
loop_
_atom_site_label
_atom_site_type_symbol
_atom_site_fract_x
_atom_site_fract_y
_atom_site_fract_z
_atom_site_occupancy
B1 B 0.0000 0.0000 0.0000 1
H1 H 0.5000 0.5000 0.5000 1
Os1 Os 0.0000 0.5000 0.5000 1



Entry 6:
# SrMnSe2Br, relaxed, DFT PBE
# Density of states at the Fermi level   0.2773 states/eV/atom
# Total magnetization   4.2 μB per cell
# Excess energy over the best structure of this formula in the dataset   0 meV/atom
# DFT total energy   -0.1800 Ha/atom
# ΔE_f (raw)   -0.998 eV/atom
data_SrMnSe2Br
_symmetry_space_group_name_H-M 'P 4/m m m'
_symmetry_Int_Tables_number 123
_symmetry_space_group_name_Hall '-P 4 2'
_cell_length_a 4.9958
_cell_length_b 4.9958
_cell_length_c 5.2389
_cell_angle_alpha 90.00
_cell_angle_beta 90.00
_cell_angle_gamma 90.00
loop_
_atom_site_label
_atom_site_type_symbol
_atom_site_fract_x
_atom_site_fract_y
_atom_site_fract_z
_atom_site_occupancy
Sr1 Sr 0.0000 0.0000 0.0000 1
Mn1 Mn 0.5000 0.5000 0.5000 1
Se1 Se 0.0000 0.5000 0.5000 1
Br1 Br 0.5000 0.5000 0.0000 1



Entry 7:
# Te2SeI, relaxed, DFT PBE
# Density of states at the Fermi level   0.9140 states/eV/atom
# Total magnetization   0.0 μB per cell
# Excess energy over the best structure of this formula in the dataset   487 meV/atom
# DFT total energy   -0.0851 Ha/atom
# ΔE_f (raw)   0.513 eV/atom
data_Te2SeI
_symmetry_space_group_name_H-M 'F m -3 m'
_symmetry_Int_Tables_number 225
_symmetry_space_group_name_Hall '-F 4 2 3'
_cell_length_a 7.6176
_cell_length_b 7.6176
_cell_length_c 7.6176
_cell_angle_alpha 90.00
_cell_angle_beta 90.00
_cell_angle_gamma 90.00
loop_
_atom_site_label
_atom_site_type_symbol
_atom_site_fract_x
_atom_site_fract_y
_atom_site_fract_z
_atom_site_occupancy
Te1 Te 0.2500 0.2500 0.2500 1
Se1 Se 0.0000 0.0000 0.0000 1
I1 I 0.0000 0.0000 0.5000 1



Entry 8:
# TlZn2Br, relaxed, DFT PBE
# Density of states at the Fermi level   0.2158 states/eV/atom
# Total magnetization   0.0 μB per cell
# Excess energy over the best structure of this formula in the dataset   150 meV/atom
# DFT total energy   -0.0603 Ha/atom
# ΔE_f (raw)   0.005 eV/atom
data_TlZn2Br
_symmetry_space_group_name_H-M 'C m m m'
_symmetry_Int_Tables_number 65
_symmetry_space_group_name_Hall '-C 2 2'
_cell_length_a 3.9371
_cell_length_b 6.2741
_cell_length_c 8.3675
_cell_angle_alpha 90.00
_cell_angle_beta 90.00
_cell_angle_gamma 90.00
loop_
_atom_site_label
_atom_site_type_symbol
_atom_site_fract_x
_atom_site_fract_y
_atom_site_fract_z
_atom_site_occupancy
Tl1 Tl 0.0000 0.0000 0.0000 1
Zn1 Zn 0.0000 0.5000 0.2603 1
Br1 Br 0.0000 0.0000 0.5000 1